Entry 1:
La15DyY4: relaxed, PBE.

Results
* raw total energy: -5.212 eV per atom
* SG: P4/mmm, No. 123
* crystal system: tetragonal
* Fermi-level density of states: 1.31 states/eV/atom

Cell: 5.217 5.217 26.088 Å, 90.00 90.00 90.00°
Fractional positions:
La1 0.000 0.500 0.900
La2 0.500 0.000 0.700
La3 0.500 0.000 0.100
Y1 0.000 0.000 0.200
Y2 0.000 0.000 0.800
La4 0.000 0.500 0.300
Dy1 0.000 0.000 0.000
La5 0.500 0.500 0.400
La6 0.500 0.500 0.600
La7 0.000 0.500 0.100
La8 0.500 0.500 0.800
La9 0.500 0.000 0.900
Y3 0.000 0.000 0.400
La10 0.500 0.500 0.000
La11 0.000 0.500 0.700
La12 0.000 0.500 0.500
La13 0.500 0.000 0.500
La14 0.500 0.000 0.300
La15 0.500 0.500 0.200
Y4 0.000 0.000 0.600

Entry 2:
La4Dy4Y3: relaxed, PBE.

Results
* relative energy among the computed polymorphs: 0.000 eV per formula unit
* SG: P-1, No. 2
* crystal system: triclinic
* Fermi-level density of states: 1.72 states/eV/atom

Cell: 3.555 5.747 18.338 Å, 80.96 84.44 90.00°
Fractional positions:
La1 0.731 0.731 0.538
La2 0.269 0.269 0.462
Y1 0.137 0.637 0.727
Dy1 0.455 0.454 0.090
Dy2 0.682 0.182 0.637
Dy3 0.318 0.818 0.363
La3 0.592 0.092 0.816
La4 0.408 0.908 0.184
Y2 0.863 0.363 0.273
Y3 0.000 0.000 0.000
Dy4 0.545 0.546 0.910

Entry 3:
La4DyY6: relaxed, PBE.

Results
* raw total energy: -5.433 eV per atom
* SG: I-42m, No. 121
* crystal system: tetragonal
* Fermi-level density of states: 1.49 states/eV/atom

Cell: 9.801 9.801 9.801 Å, 58.72 139.43 139.43°
Fractional positions:
Y1 0.500 0.000 0.500
Y2 0.500 0.500 0.000
Y3 0.350 0.555 0.555
La1 0.623 0.988 0.988
La2 0.377 0.365 0.365
La3 0.000 0.635 0.012
Dy1 0.000 0.000 0.000
La4 0.000 0.012 0.635
Y4 0.000 0.795 0.445
Y5 0.650 0.205 0.205
Y6 0.000 0.445 0.795

Entry 4:
La6DyY2: relaxed, PBE.

Results
* relative energy among the computed polymorphs: 0.000 eV per formula unit
* SG: Cmmm, No. 65
* crystal system: orthorhombic
* Fermi-level density of states: 1.48 states/eV/atom

Cell: 3.714 10.147 10.147 Å, 55.92 90.00 90.00°
Fractional positions:
La1 0.000 0.495 0.836
La2 0.500 0.321 0.679
Y1 0.500 0.172 0.172
Y2 0.500 0.828 0.828
La3 0.500 0.679 0.321
La4 0.000 0.836 0.495
Dy1 0.000 0.000 0.000
La5 0.000 0.164 0.505
La6 0.000 0.505 0.164

Entry 5:
La5DyY3: relaxed, PBE.

Results
* relative energy among the computed polymorphs: 0.599 eV per formula unit
* SG: I4/mcm, No. 140
* crystal system: tetragonal
* Fermi-level density of states: 1.77 states/eV/atom

Cell: 9.513 9.513 9.817 Å, 118.98 118.98 90.00°
Fractional positions:
La1 0.663 0.163 0.727
La2 0.564 0.663 0.727
Y1 0.250 0.250 0.500
La3 0.000 0.000 0.000
Y2 0.609 0.109 0.000
Dy1 0.250 0.750 0.500
La4 0.500 0.500 0.000
Dy2 0.750 0.250 0.500
La5 0.436 0.337 0.273
La6 0.837 0.936 0.273
Y3 0.391 0.891 0.000
Y4 0.891 0.609 0.000
La7 0.936 0.436 0.273
La8 0.163 0.064 0.727
Y5 0.750 0.750 0.500
La9 0.337 0.837 0.273
Y6 0.109 0.391 0.000
La10 0.064 0.564 0.727

Entry 6:
La8DyY4: relaxed, PBE.

Results
* raw total energy: -5.215 eV per atom
* SG: P-1, No. 2
* crystal system: triclinic
* Fermi-level density of states: 1.30 states/eV/atom

Cell: 7.269 7.262 14.963 Å, 61.08 136.61 119.91°
Fractional positions:
La1 0.083 0.752 0.288
La2 0.164 0.210 0.371
La3 0.836 0.790 0.629
La4 0.538 0.206 0.288
Y1 0.000 0.500 0.000
Y2 0.500 0.000 0.000
Y3 0.500 0.500 0.000
La5 0.537 0.753 0.288
La6 0.463 0.247 0.712
La7 0.462 0.794 0.712
Dy1 0.000 0.500 0.500
La8 0.917 0.248 0.712
Y4 0.000 0.000 0.000

Entry 7:
La2Dy3Y5: relaxed, PBE.

Results
* raw total energy: -5.414 eV per atom
* SG: C2/c, No. 15
* crystal system: monoclinic
* Fermi-level density of states: 1.74 states/eV/atom

Cell: 9.273 9.269 11.200 Å, 123.45 123.45 70.62°
Fractional positions:
La1 0.775 0.021 0.751
Y1 0.024 0.774 0.548
Dy1 0.727 0.474 0.247
Dy2 0.224 0.974 0.948
Y2 0.879 0.621 0.756
Y3 0.723 0.473 0.947
Dy3 0.776 0.026 0.052
Y4 0.525 0.275 0.550
Dy4 0.981 0.227 0.753
Y5 0.475 0.725 0.450
Y6 0.121 0.379 0.244
La2 0.524 0.270 0.249
Y7 0.377 0.135 0.756
Y8 0.277 0.527 0.053
La3 0.225 0.979 0.249
La4 0.476 0.730 0.751
Y9 0.976 0.226 0.452
Dy5 0.019 0.773 0.247
Dy6 0.273 0.526 0.753
Y10 0.623 0.865 0.244

Entry 8:
LaDy6Y3: relaxed, PBE.

Results
* relative energy among the computed polymorphs: 1.421 eV per formula unit
* SG: R3, No. 146
* crystal system: trigonal
* Fermi-level density of states: 2.17 states/eV/atom

Cell: 9.872 9.872 6.907 Å, 44.39 44.39 60.00°
Fractional positions:
Dy1 0.569 0.232 0.298
La1 0.900 0.900 0.300
Dy2 0.232 0.902 0.298
Dy3 0.730 0.072 0.797
Dy4 0.072 0.402 0.797
Dy5 0.902 0.569 0.298
Y1 0.399 0.399 0.804
Dy6 0.402 0.730 0.797
Y2 0.151 0.151 0.546
Y3 0.644 0.644 0.067

Entry 9:
La12Dy5Y: relaxed, PBE.

Results
* raw total energy: -4.907 eV per atom
* SG: C2/m, No. 12
* crystal system: monoclinic
* Fermi-level density of states: 1.62 states/eV/atom

Cell: 6.380 6.380 18.087 Å, 86.67 86.67 120.07°
Fractional positions:
Dy1 0.500 0.500 0.500
La1 0.718 0.718 0.835
La2 0.112 0.112 0.663
La3 0.282 0.282 0.165
Dy2 0.167 0.833 0.500
La4 0.946 0.611 0.165
Dy3 0.833 0.167 0.500
La5 0.054 0.389 0.835
La6 0.611 0.946 0.165
Y1 0.000 0.000 0.000
Dy4 0.333 0.667 0.000
La7 0.222 0.555 0.337
La8 0.445 0.778 0.663
Dy5 0.667 0.333 0.000
La9 0.389 0.054 0.835
La10 0.888 0.888 0.337
La11 0.778 0.445 0.663
La12 0.555 0.222 0.337

Entry 10:
LaDy3Y5: relaxed, PBE.

Results
* relative energy among the computed polymorphs: 0.000 eV per formula unit
* SG: I4/mcm, No. 140
* crystal system: tetragonal
* Fermi-level density of states: 1.22 states/eV/atom

Cell: 8.669 8.669 9.927 Å, 115.89 115.89 90.00°
Fractional positions:
Y1 0.935 0.435 0.271
Y2 0.065 0.565 0.729
Y3 0.500 0.500 0.000
La1 0.250 0.750 0.500
Y4 0.565 0.664 0.729
Y5 0.164 0.065 0.729
Dy1 0.250 0.250 0.500
Y6 0.664 0.164 0.729
Y7 0.435 0.336 0.271
Y8 0.836 0.935 0.271
Y9 0.336 0.836 0.271
Dy2 0.881 0.619 0.000
Dy3 0.381 0.881 0.000
Dy4 0.619 0.119 0.000
La2 0.750 0.250 0.500
Dy5 0.750 0.750 0.500
Dy6 0.119 0.381 0.000
Y10 0.000 0.000 0.000

Entry 11:
La6Dy7Y16: relaxed, PBE.

Results
* raw total energy: -5.505 eV per atom
* SG: Fm-3m, No. 225
* crystal system: cubic
* Fermi-level density of states: 1.67 states/eV/atom

Cell: 11.209 11.209 11.209 Å, 60.00 60.00 60.00°
Fractional positions:
Y1 0.851 0.851 0.448
Y2 0.616 0.152 0.616
Y3 0.384 0.384 0.384
Dy1 0.000 0.000 0.000
La1 0.778 0.222 0.222
La2 0.222 0.778 0.222
Dy2 0.000 0.500 0.500
Dy3 0.500 0.000 0.500
La3 0.778 0.222 0.778
Y4 0.149 0.149 0.149
Y5 0.851 0.448 0.851
Y6 0.552 0.149 0.149
Y7 0.149 0.149 0.552
Y8 0.152 0.616 0.616
Y9 0.616 0.616 0.152
Y10 0.848 0.384 0.384
Dy4 0.000 0.500 0.000
Dy5 0.000 0.000 0.500
Dy6 0.500 0.500 0.000
Y11 0.384 0.848 0.384
Y12 0.384 0.384 0.848
Y13 0.616 0.616 0.616
Y14 0.851 0.851 0.851
La4 0.778 0.778 0.222
La5 0.222 0.222 0.778
Y15 0.448 0.851 0.851
Dy7 0.500 0.000 0.000
Y16 0.149 0.552 0.149
La6 0.222 0.778 0.778

Entry 12:
LaDy4Y2: relaxed, PBE.

Results
* relative energy among the computed polymorphs: 0.662 eV per formula unit
* SG: P2_1/m, No. 11
* crystal system: monoclinic
* Fermi-level density of states: 1.68 states/eV/atom

Cell: 6.179 6.591 11.712 Å, 90.00 107.34 90.00°
Fractional positions:
Y1 0.385 0.250 0.992
La1 0.813 0.250 0.861
Dy1 0.986 0.750 0.836
Dy2 0.356 0.990 0.711
Dy3 0.864 0.250 0.576
Dy4 0.014 0.250 0.164
Dy5 0.136 0.750 0.424
Y2 0.615 0.750 0.008
Y3 0.700 0.750 0.550
Y4 0.300 0.250 0.450
Dy6 0.356 0.510 0.711
Dy7 0.644 0.490 0.289
Dy8 0.644 0.010 0.289
La2 0.187 0.750 0.139